# 1
A geometry-optimized DyTmAlSi2 structure, computed with PBE-GGA.

a = 5.5594 Å, b = 5.5594 Å, c = 5.5594 Å
α = 137.18°, β = 118.37°, γ = 77.96°
With the nearest neighbours (Å) after each atom.
Element x y z (fractional)
Dy1 0.0000 0.0000 0.0000  6 Si 2.98-2.99, 2 Al 3.22
Tm1 0.5786 0.5786 0.0000  6 Si 2.98-3.00, 2 Al 3.22
Al1 0.2892 0.7892 0.5000  4 Si 2.61
Si1 0.9997 0.2890 0.7107  1 Si 2.40, 2 Al 2.61
Si2 0.5783 0.2890 0.2893  1 Si 2.40, 2 Al 2.61

Computed properties:
The value obtained for the total moment is 0.00 Bohr magnetons per cell. The uncorrected energy is -27.233 eV for the cell shown. As for the symmetry: Imm2.

# 2
A geometry-optimized Zr2Ta4Ga3C3 structure, computed with PBE-GGA.

a = 5.5158 Å, b = 5.5158 Å, c = 14.1766 Å
α = 101.42°, β = 101.42°, γ = 59.94°
With the nearest neighbours (Å) after each atom.
Element x y z (fractional)
Zr1 0.0351 0.8724 0.6020  3 C 2.32-2.34
Zr2 0.1277 0.9649 0.8980  3 C 2.32-2.34
Zr3 0.8724 0.0351 0.1020  3 C 2.32-2.34
Zr4 0.9649 0.1277 0.3980  3 C 2.32-2.34
Ta1 0.1953 0.3563 0.0851  3 C 2.17-2.19
Ta2 0.2982 0.4776 0.4149  3 C 2.17-2.19
Ta3 0.3563 0.1953 0.5851  3 C 2.17-2.19
Ta4 0.4776 0.2982 0.9149  3 C 2.17-2.19
Ta5 0.5224 0.7018 0.0851  3 C 2.17-2.19
Ta6 0.6437 0.8047 0.4149  3 C 2.17-2.19
Ta7 0.7018 0.5224 0.5851  3 C 2.17-2.19
Ta8 0.8047 0.6437 0.9149  3 C 2.17-2.19
Ga1 0.0847 0.3095 0.7517  4 Ta 2.83-2.84, 4 Ga 2.94, 2 Zr 2.97-2.98
Ga2 0.3095 0.0847 0.2517  4 Ta 2.83-2.84, 4 Ga 2.94, 2 Zr 2.97-2.98
Ga3 0.4766 0.5234 0.7500  4 Ta 2.84-2.85, 4 Ga 2.94, 2 Zr 2.99
Ga4 0.5234 0.4766 0.2500  4 Ta 2.84-2.85, 4 Ga 2.94, 2 Zr 2.99
Ga5 0.6905 0.9153 0.7483  4 Ta 2.83-2.84, 4 Ga 2.94, 2 Zr 2.97-2.98
Ga6 0.9153 0.6905 0.2483  4 Ta 2.83-2.84, 4 Ga 2.94, 2 Zr 2.97-2.98
C1 0.0000 0.5000 0.5000  4 Ta 2.17, 2 Zr 2.34
C2 0.1690 0.6617 0.0000  4 Ta 2.17-2.19, 2 Zr 2.32
C3 0.3383 0.8310 0.5000  4 Ta 2.17-2.19, 2 Zr 2.32
C4 0.5000 0.0000 0.0000  4 Ta 2.17, 2 Zr 2.34
C5 0.6617 0.1690 0.5000  4 Ta 2.17-2.19, 2 Zr 2.32
C6 0.8310 0.3383 0.0000  4 Ta 2.17-2.19, 2 Zr 2.32

Computed properties:
The value obtained for the total moment is 0.00 Bohr magnetons per cell. The uncorrected energy is -217.751 eV for the cell shown. As for the symmetry: C2/c.

# 3
A geometry-optimized RbInRe2O8 structure, computed with PBE-GGA.

a = 5.8221 Å, b = 5.8221 Å, c = 7.4114 Å
α = 90.00°, β = 90.00°, γ = 120.00°
With the nearest neighbours (Å) after each atom.
Element x y z (fractional)
Rb1 0.0000 0.0000 0.0000  6 O 2.86
In1 0.0000 0.0000 0.5000  6 O 2.15
Re1 0.3333 0.6667 0.2344  4 O 1.76-1.80
Re2 0.6667 0.3333 0.7656  4 O 1.76-1.80
O1 0.1644 0.3288 0.3145  1 Re 1.80
O2 0.1644 0.8356 0.3145  1 Re 1.80
O3 0.3288 0.1644 0.6855  1 Re 1.80
O4 0.3333 0.6667 0.9971  1 Re 1.76
O5 0.6667 0.3333 0.0029  1 Re 1.76
O6 0.6712 0.8356 0.3145  1 Re 1.80
O7 0.8356 0.1644 0.6855  1 Re 1.80
O8 0.8356 0.6712 0.6855  1 Re 1.80

Computed properties:
The value obtained for the total moment is 2.00 Bohr magnetons per cell. The uncorrected energy is -85.931 eV for the cell shown. As for the symmetry: P-3m1.

# 4
A geometry-optimized LiHgPd2 structure, computed with PBE-GGA.

a = 4.0721 Å, b = 4.0721 Å, c = 3.9039 Å
α = 90.00°, β = 90.00°, γ = 90.00°
With the nearest neighbours (Å) after each atom.
Element x y z (fractional)
Li1 0.0000 0.0000 0.0000  8 Pd 2.82, 4 Hg 2.88
Hg1 0.5000 0.5000 0.0000  8 Pd 2.82, 4 Li 2.88
Pd1 0.0000 0.5000 0.5000  4 Hg 2.82, 4 Li 2.82, 4 Pd 2.88
Pd2 0.5000 0.0000 0.5000  4 Hg 2.82, 4 Li 2.82, 4 Pd 2.88

Computed properties:
The uncorrected energy is -14.064 eV for the cell shown. As for the symmetry: P4/mmm.

# 5
A geometry-optimized Sm3AlSe6 structure, computed with PBE-GGA.

a = 9.0803 Å, b = 9.0803 Å, c = 6.8647 Å
α = 90.00°, β = 90.00°, γ = 102.35°
With the nearest neighbours (Å) after each atom.
Element x y z (fractional)
Sm1 0.0982 0.9018 0.5000  7 Se 2.92-3.26
Sm2 0.2182 0.4154 0.4015  7 Se 2.87-3.15
Sm3 0.4154 0.2182 0.9015  7 Se 2.87-3.15
Sm4 0.5846 0.7818 0.4015  7 Se 2.87-3.15
Sm5 0.7818 0.5846 0.9015  7 Se 2.87-3.15
Sm6 0.9018 0.0982 0.0000  7 Se 2.92-3.26
Al1 0.2993 0.7007 0.8626  4 Se 2.40-2.45
Al2 0.7007 0.2993 0.3626  4 Se 2.40-2.45
Se1 0.0690 0.5994 0.6910  1 Al 2.40
Se2 0.1309 0.1940 0.7016  4 Sm 2.87-2.95
Se3 0.1940 0.1309 0.2016  4 Sm 2.87-2.95
Se4 0.2816 0.7184 0.2114  1 Al 2.41
Se5 0.4006 0.9310 0.6910  1 Al 2.40
Se6 0.4587 0.5413 0.7237  1 Al 2.45
Se7 0.5413 0.4587 0.2237  1 Al 2.45
Se8 0.5994 0.0690 0.1910  1 Al 2.40
Se9 0.7184 0.2816 0.7114  1 Al 2.41
Se10 0.8060 0.8691 0.7016  4 Sm 2.87-2.95
Se11 0.8691 0.8060 0.2016  4 Sm 2.87-2.95
Se12 0.9310 0.4006 0.1910  1 Al 2.40

Computed properties:
The value obtained for the total moment is 0.01 Bohr magnetons per cell. The uncorrected energy is -110.382 eV for the cell shown. As for the symmetry: Cmc2_1.

# 6
A geometry-optimized NdNb2O6 structure, computed with PBE-GGA.

a = 3.9518 Å, b = 3.9518 Å, c = 7.9982 Å
α = 90.00°, β = 90.00°, γ = 90.00°
With the nearest neighbours (Å) after each atom.
Element x y z (fractional)
Nd1 0.0000 0.0000 0.0000  12 O 2.62-2.79
Nb1 0.5000 0.5000 0.2597  6 O 1.92-2.08
Nb2 0.5000 0.5000 0.7403  6 O 1.92-2.08
O1 0.0000 0.5000 0.2153  2 Nb 2.01
O2 0.0000 0.5000 0.7847  2 Nb 2.01
O3 0.5000 0.0000 0.2153  2 Nb 2.01
O4 0.5000 0.0000 0.7847  2 Nb 2.01
O5 0.5000 0.5000 0.0000  2 Nb 2.08
O6 0.5000 0.5000 0.5000  2 Nb 1.92

Computed properties:
The value obtained for the total moment is 0.07 Bohr magnetons per cell. The uncorrected energy is -79.640 eV for the cell shown. As for the symmetry: P4/mmm.

# 7
A geometry-optimized PrAlGaPdAu structure, computed with PBE-GGA.

a = 4.4238 Å, b = 4.4238 Å, c = 10.3788 Å
α = 90.00°, β = 90.00°, γ = 90.00°
With the nearest neighbours (Å) after each atom.
Element x y z (fractional)
Pr1 0.2500 0.2500 0.2497  4 Au 3.32, 4 Ga 3.41, 4 Pd 3.41, 4 Al 3.43
Pr2 0.7500 0.7500 0.7503  4 Au 3.32, 4 Ga 3.41, 4 Pd 3.41, 4 Al 3.43
Al1 0.2500 0.2500 0.6155  4 Pd 2.52, 1 Au 2.52
Al2 0.7500 0.7500 0.3845  4 Pd 2.52, 1 Au 2.52
Ga1 0.2500 0.7500 0.0000  4 Au 2.65
Ga2 0.7500 0.2500 0.0000  4 Au 2.65
Pd1 0.2500 0.7500 0.5000  4 Al 2.52
Pd2 0.7500 0.2500 0.5000  4 Al 2.52
Au1 0.2500 0.2500 0.8587  1 Al 2.52, 4 Ga 2.65
Au2 0.7500 0.7500 0.1413  1 Al 2.52, 4 Ga 2.65

Computed properties:
The value obtained for the total moment is 0.01 Bohr magnetons per cell. The uncorrected energy is -47.765 eV for the cell shown. As for the symmetry: P4/nmm. The value obtained for the relative energy among the computed polymorphs is 9 meV/atom.

# 8
A geometry-optimized DyAuSeO structure, computed with PBE-GGA.

a = 9.4889 Å, b = 5.5687 Å, c = 5.5724 Å
α = 90.00°, β = 90.00°, γ = 90.00°
With the nearest neighbours (Å) after each atom.
Element x y z (fractional)
Dy1 0.1172 0.0011 0.2500  4 O 2.26
Dy2 0.1172 0.4989 0.7500  4 O 2.26
Dy3 0.8828 0.5011 0.2500  4 O 2.26
Dy4 0.8828 0.9989 0.7500  4 O 2.26
Au1 0.4955 0.2500 0.0000  4 Au 2.79, 4 Se 2.83-2.88
Au2 0.4955 0.2500 0.5000  4 Au 2.79, 4 Se 2.83-2.88
Au3 0.5045 0.7500 0.0000  4 Au 2.79, 4 Se 2.83-2.88
Au4 0.5045 0.7500 0.5000  4 Au 2.79, 4 Se 2.83-2.88
Se1 0.2826 0.5017 0.2500  4 Au 2.83-2.88
Se2 0.2826 0.9983 0.7500  4 Au 2.83-2.88
Se3 0.7174 0.0017 0.2500  4 Au 2.83-2.88
Se4 0.7174 0.4983 0.7500  4 Au 2.83-2.88
O1 0.9995 0.2500 0.0000  4 Dy 2.26
O2 0.9995 0.2500 0.5000  4 Dy 2.26
O3 0.0005 0.7500 0.0000  4 Dy 2.26
O4 0.0005 0.7500 0.5000  4 Dy 2.26

Computed properties:
The value obtained for the total moment is 0.00 Bohr magnetons per cell. The uncorrected energy is -94.485 eV for the cell shown. As for the symmetry: Pbcm. The value obtained for the relative energy among the computed polymorphs is 87 meV/atom.

# 9
A geometry-optimized Mg2Np structure, computed with PBE-GGA.

a = 2.8832 Å, b = 5.4973 Å, c = 17.8960 Å
α = 90.00°, β = 90.00°, γ = 90.00°
With the nearest neighbours (Å) after each atom.
Element x y z (fractional)
Mg1 0.2500 0.2500 0.0355  2 Mg 2.88
Mg2 0.2500 0.2500 0.7016  2 Mg 2.88
Mg3 0.2500 0.7500 0.4633  2 Mg 2.88
Mg4 0.2500 0.7500 0.8027  2 Mg 2.88
Mg5 0.7500 0.2500 0.1973  2 Mg 2.88
Mg6 0.7500 0.2500 0.5367  2 Mg 2.88
Mg7 0.7500 0.7500 0.2984  2 Mg 2.88
Mg8 0.7500 0.7500 0.9645  2 Mg 2.88
Np1 0.2500 0.2500 0.3651  2 Np 2.88
Np2 0.2500 0.7500 0.1325  2 Np 2.88
Np3 0.7500 0.2500 0.8675  2 Np 2.88
Np4 0.7500 0.7500 0.6349  2 Np 2.88

Computed properties:
The value obtained for the total moment is 19.35 Bohr magnetons per cell. The uncorrected energy is -59.857 eV for the cell shown. As for the symmetry: Pmmn.

# 10
A geometry-optimized LaMgReMo structure, computed with PBE-GGA.

a = 4.7490 Å, b = 4.7490 Å, c = 4.7490 Å
α = 60.00°, β = 60.00°, γ = 60.00°
With the nearest neighbours (Å) after each atom.
Element x y z (fractional)
La1 0.0000 0.0000 0.0000  4 Mo 2.91, 4 Re 2.91
Mg1 0.5000 0.5000 0.5000  4 Mo 2.91, 4 Re 2.91
Re1 0.7500 0.7500 0.7500  4 La 2.91, 4 Mg 2.91
Mo1 0.2500 0.2500 0.2500  4 La 2.91, 4 Mg 2.91

Computed properties:
The value obtained for the total moment is 0.47 Bohr magnetons per cell. The uncorrected energy is -26.542 eV for the cell shown. As for the symmetry: F-43m. The value obtained for the relative energy among the computed polymorphs is 264 meV/atom.

# 11
A geometry-optimized ErBeB4 structure, computed with PBE-GGA.

a = 4.7819 Å, b = 4.7819 Å, c = 4.7819 Å
α = 141.48°, β = 114.35°, γ = 78.78°
With the nearest neighbours (Å) after each atom.
Element x y z (fractional)
Er1 0.0000 0.0000 0.0000  12 B 2.54-2.55
Be1 0.5000 0.5000 0.0000  12 B 2.45-2.64
B1 0.0662 0.7407 0.3256  3 B 1.77-1.81
B2 0.4151 0.7407 0.6744  3 B 1.77-1.81
B3 0.5849 0.2593 0.3256  3 B 1.77-1.81
B4 0.9338 0.2593 0.6744  3 B 1.77-1.81

Computed properties:
The value obtained for the total moment is 0.00 Bohr magnetons per cell. The uncorrected energy is -35.572 eV for the cell shown. As for the symmetry: Immm. The value obtained for the relative energy among the computed polymorphs is 74 meV/atom.

# 12
A geometry-optimized LiZn3Au4 structure, computed with PBE-GGA.

a = 6.9982 Å, b = 6.9982 Å, c = 4.5197 Å
α = 108.64°, β = 108.64°, γ = 37.51°
With the nearest neighbours (Å) after each atom.
Element x y z (fractional)
Li1 0.0000 0.0000 0.0000  8 Au 2.73-2.74
Zn1 0.2492 0.2492 0.2480  8 Au 2.74-2.77
Zn2 0.5000 0.5000 0.5000  8 Au 2.73-2.74
Zn3 0.7508 0.7508 0.7520  8 Au 2.74-2.77
Au1 0.1238 0.1238 0.6229  6 Zn 2.73-2.75, 2 Li 2.74
Au2 0.3759 0.3759 0.8757  2 Li 2.73, 6 Zn 2.73-2.77
Au3 0.6241 0.6241 0.1243  2 Li 2.73, 6 Zn 2.73-2.77
Au4 0.8762 0.8762 0.3771  6 Zn 2.73-2.75, 2 Li 2.74

Computed properties:
The uncorrected energy is -21.407 eV for the cell shown. As for the symmetry: C2/m.

Which value of uncorrected energy does entry 6 give?
-79.640 eV for the cell shown